(1)
First-principles (PBE-GGA) data for an optimized crystal structure of Ce2DySnN, as listed in Alexandria via LeMat-Bulk.

magnetization	1.65	Bohr magnetons per cell
energy	-6.733	eV/atom
energy relative to the elements, uncorrected	-0.973	eV per atom

Cell lengths 4.881, 4.881, 4.874 Å; angles 90.00, 90.00, 90.00 degrees
Space group P4/mmm (No. 123)
Unique sites:
1 Ce 0.000 0.500 0.000
2 Dy 0.000 0.000 0.500
3 Sn 0.500 0.500 0.500
4 N 0.000 0.000 0.000



(2)
First-principles (PBE-GGA) data for an optimized crystal structure of CsAgRu2N, as listed in Alexandria via LeMat-Bulk.

magnetization	4.46	Bohr magnetons per cell
energy	-3.172	eV/atom
energy relative to the elements, uncorrected	2.944	eV per atom

Cell lengths 5.064, 5.064, 4.457 Å; angles 90.00, 90.00, 90.00 degrees
Space group P4/mmm (No. 123)
Unique sites:
1 Cs 0.000 0.000 0.000
2 Ag 0.500 0.500 0.500
3 Ru 0.000 0.500 0.000
4 N 0.000 0.000 0.500



(3)
First-principles (PBE-GGA) data for an optimized crystal structure of Mg2Cd2Cu, as listed in Alexandria via LeMat-Bulk.

magnetization	0.00	Bohr magnetons per cell
E_form	6.71	kJ/mol of atoms
energy	-1.754	eV/atom

Cell lengths 6.890, 6.890, 4.465 Å; angles 90.00, 90.00, 90.00 degrees
Space group P4/mbm (No. 127)
Unique sites:
1 Mg 0.166 0.334 0.000
2 Cd 0.147 0.647 0.500
3 Cu 0.000 0.000 0.500



(4)
First-principles (PBE-GGA) data for an optimized crystal structure of LiMgMn, as listed in Alexandria via LeMat-Bulk.

magnetization	7.11	Bohr magnetons per cell
E_form	27.45	kJ/mol of atoms
energy	-3.941	eV/atom

Cell lengths 2.906, 2.906, 12.653 Å; angles 90.00, 90.00, 90.00 degrees
Space group I4mm (No. 107)
Unique sites:
1 Li 0.000 0.000 0.000
2 Mg 0.000 0.000 0.683
3 Mn 0.000 0.000 0.344



(5)
First-principles (PBE-GGA) data for an optimized crystal structure of K2NaZnAu, as listed in Alexandria via LeMat-Bulk.

magnetization	0.37	Bohr magnetons per cell
E_form	6.18	kJ/mol of atoms
energy	-1.549	eV/atom

Cell lengths 6.330, 6.330, 5.659 Å; angles 90.00, 90.00, 90.00 degrees
Space group P4/mmm (No. 123)
Unique sites:
1 K 0.000 0.500 0.000
2 Na 0.000 0.000 0.500
3 Zn 0.500 0.500 0.500
4 Au 0.000 0.000 0.000



(6)
First-principles (PBE-GGA) data for an optimized crystal structure of CsYB4H16, as listed in Alexandria via LeMat-Bulk.

magnetization	0.00	Bohr magnetons per cell
energy	-4.339	eV/atom

Cell lengths 7.582, 7.582, 18.560 Å; angles 90.00, 90.00, 90.00 degrees
Space group I4_1/a (No. 88, origin choice 2)
Unique sites:
1 Cs 0.000 0.250 0.125
2 Y 0.000 0.250 0.625
3 B 0.116 0.000 0.303
4 H 0.041 0.029 0.711
5 H 0.112 0.051 0.543
6 H 0.123 0.031 0.369
7 H 0.129 0.425 0.981



(7)
First-principles (PBE-GGA) data for an optimized crystal structure of BeReH2Pd, as listed in Alexandria via LeMat-Bulk.

magnetization	1.24	Bohr magnetons per cell
energy	-4.974	eV/atom

Cell lengths 3.305, 3.305, 4.539 Å; angles 90.00, 90.00, 90.00 degrees
Space group P4/mmm (No. 123)
Unique sites:
1 Be 0.000 0.000 0.000
2 Re 0.500 0.500 0.000
3 H 0.000 0.500 0.500
4 Pd 0.000 0.000 0.500



(8)
First-principles (PBE-GGA) data for an optimized crystal structure of TmTePd5, as listed in Alexandria via LeMat-Bulk.

magnetization	0.00	Bohr magnetons per cell
energy	-5.454	eV/atom
energy relative to the elements, uncorrected	-0.658	eV per atom

Cell lengths 4.158, 4.158, 7.484 Å; angles 90.00, 90.00, 90.00 degrees
Space group P4/mmm (No. 123)
Unique sites:
1 Tm 0.000 0.000 0.000
2 Te 0.500 0.500 0.500
3 Pd 0.000 0.500 0.269
4 Pd 0.500 0.500 0.000



(9)
First-principles (PBE-GGA) data for an optimized crystal structure of KAlTl2, as listed in Alexandria via LeMat-Bulk.

magnetization	0.00	Bohr magnetons per cell
E_form	21.10	kJ/mol of atoms
energy	-2.174	eV/atom

Cell lengths 7.044, 10.152, 3.339 Å; angles 90.00, 90.00, 90.00 degrees
Space group Cmmm (No. 65)
Unique sites:
1 K 0.000 0.000 0.000
2 Al 0.000 0.500 0.000
3 Tl 0.250 0.250 0.500



(10)
First-principles (PBE-GGA) data for an optimized crystal structure of LiInCo2, as listed in Alexandria via LeMat-Bulk.

magnetization	5.13	Bohr magnetons per cell
E_form	24.65	kJ/mol of atoms
energy	-4.460	eV/atom

Cell lengths 5.143, 7.877, 2.771 Å; angles 90.00, 90.00, 90.00 degrees
Space group Cmmm (No. 65)
Unique sites:
1 Li 0.000 0.000 0.000
2 In 0.000 0.500 0.000
3 Co 0.250 0.250 0.500



(11)
First-principles (PBE-GGA) data for an optimized crystal structure of ZnCr2In, as listed in Alexandria via LeMat-Bulk.

magnetization	1.91	Bohr magnetons per cell
E_form	46.52	kJ/mol of atoms
energy	-5.333	eV/atom

Cell lengths 3.768, 3.768, 4.163 Å; angles 90.00, 90.00, 90.00 degrees
Space group P4/mmm (No. 123)
Unique sites:
1 Zn 0.000 0.000 0.000
2 Cr 0.000 0.500 0.500
3 In 0.500 0.500 0.000



(12)
First-principles (PBE-GGA) data for an optimized crystal structure of BaLa2Rh, as listed in Alexandria via LeMat-Bulk.

magnetization	0.00	Bohr magnetons per cell
E_form	9.11	kJ/mol of atoms
energy	-4.688	eV/atom

Cell lengths 4.488, 4.488, 11.790 Å; angles 90.00, 90.00, 90.00 degrees
Space group I-4m2 (No. 119)
Unique sites:
1 Ba 0.000 0.000 0.000
2 La 0.000 0.000 0.500
3 La 0.000 0.500 0.750
4 Rh 0.000 0.500 0.250